# 1
A PBEsol-optimized structure of LiSbAu2, computed with SCAN. Values from VASP.

The structure in Quantum ESPRESSO input format:
```
&SYSTEM
  ibrav = 0, nat = 8, ntyp = 3
/
ATOMIC_SPECIES
Li 6.94 Li.upf
Sb 121.76 Sb.upf
Au 196.97 Au.upf
ATOMIC_POSITIONS crystal
Li 0.000 0.000 0.000
Li 0.500 0.500 0.000
Sb 0.000 0.500 0.000
Sb 0.500 0.000 0.000
Au 0.250 0.250 0.500
Au 0.250 0.750 0.500
Au 0.750 0.250 0.500
Au 0.750 0.750 0.500
CELL_PARAMETERS angstrom
5.833 0.000 0.000
0.000 6.118 0.000
0.000 0.000 4.009
```

Uncorrected formation energy (eV per atom): -0.36

---

# 2
A PBEsol-optimized structure of CaZrIr2, computed with SCAN. Values from VASP.

The structure in Quantum ESPRESSO input format:
```
&SYSTEM
  ibrav = 0, nat = 4, ntyp = 3
/
ATOMIC_SPECIES
Ca 40.08 Ca.upf
Zr 91.22 Zr.upf
Ir 192.22 Ir.upf
ATOMIC_POSITIONS crystal
Ca 0.000 0.000 0.000
Zr 0.500 0.500 0.640
Ir 0.000 0.000 0.496
Ir 0.500 0.500 0.146
CELL_PARAMETERS angstrom
2.983 0.000 0.000
0.000 4.503 0.000
0.000 0.000 5.467
```

Calculated formation energy (eV/atom): -0.2672

---

# 3
A PBEsol-optimized structure of PSe3, computed with SCAN. Values from VASP.

The structure in Quantum ESPRESSO input format:
```
&SYSTEM
  ibrav = 0, nat = 8, ntyp = 2
/
ATOMIC_SPECIES
P 30.97 P.upf
Se 78.96 Se.upf
ATOMIC_POSITIONS crystal
P 0.000 0.000 0.000
P 0.500 0.500 0.500
Se 0.000 0.276 0.621
Se 0.000 0.500 0.034
Se 0.000 0.724 0.621
Se 0.500 0.000 0.534
Se 0.500 0.224 0.121
Se 0.500 0.776 0.121
CELL_PARAMETERS angstrom
3.364 0.000 0.000
0.000 7.054 0.000
0.000 0.000 7.557
```

Uncorrected formation energy (eV per atom): 0.33

---

# 4
A PBEsol-optimized structure of Tl3SbF, computed with SCAN. Values from VASP.

The structure in Quantum ESPRESSO input format:
```
&SYSTEM
  ibrav = 0, nat = 5, ntyp = 3
/
ATOMIC_SPECIES
Tl 204.38 Tl.upf
Sb 121.76 Sb.upf
F 19.00 F.upf
ATOMIC_POSITIONS crystal
Tl 0.000 0.000 0.500
Tl 0.000 0.500 0.000
Tl 0.500 0.000 0.000
Sb 0.500 0.500 0.500
F 0.000 0.000 0.000
CELL_PARAMETERS angstrom
5.104 0.000 0.000
0.000 5.104 0.000
0.000 0.000 5.104
```

Uncorrected formation energy (eV per atom): -0.57

---

# 5
A PBEsol-optimized structure of BeNb2SnSe, computed with SCAN. Values from VASP.

The structure in Quantum ESPRESSO input format:
```
&SYSTEM
  ibrav = 0, nat = 5, ntyp = 4
/
ATOMIC_SPECIES
Be 9.01 Be.upf
Nb 92.91 Nb.upf
Sn 118.71 Sn.upf
Se 78.96 Se.upf
ATOMIC_POSITIONS crystal
Be 0.000 0.000 0.000
Nb 0.000 0.500 0.500
Nb 0.500 0.000 0.500
Sn 0.500 0.500 0.000
Se 0.000 0.000 0.500
CELL_PARAMETERS angstrom
4.865 0.000 0.000
0.000 4.865 0.000
0.000 0.000 3.937
```

Uncorrected formation energy (eV per atom): 0.53

---

# 6
A PBEsol-optimized structure of InPO4, computed with SCAN. Values from VASP.

The structure in Quantum ESPRESSO input format:
```
&SYSTEM
  ibrav = 0, nat = 24, ntyp = 3
/
ATOMIC_SPECIES
In 114.82 In.upf
P 30.97 P.upf
O 16.00 O.upf
ATOMIC_POSITIONS crystal
In 0.000 0.000 0.000
In 0.000 0.500 0.000
In 0.500 0.000 0.500
In 0.500 0.500 0.500
P 0.177 0.250 0.482
P 0.323 0.750 0.982
P 0.677 0.250 0.018
P 0.823 0.750 0.518
O 0.122 0.250 0.790
O 0.125 0.062 0.347
O 0.125 0.438 0.347
O 0.147 0.750 0.960
O 0.353 0.250 0.460
O 0.375 0.562 0.847
O 0.375 0.938 0.847
O 0.378 0.750 0.290
O 0.622 0.250 0.710
O 0.625 0.062 0.153
O 0.625 0.438 0.153
O 0.647 0.750 0.540
O 0.853 0.250 0.040
O 0.875 0.562 0.653
O 0.875 0.938 0.653
O 0.878 0.750 0.210
CELL_PARAMETERS angstrom
8.937 0.000 0.000
0.000 6.925 0.000
0.000 0.000 4.831
```

Uncorrected formation energy (eV per atom): -2.27

---

no.,VASP energy (eV per cell)
1,-358.777
2,-183.629
3,-138.602
4,-260.748
5,-123.981
6,-329.319